DFT (GGA-PBE) results for an optimized crystal structure of CuAsIr2.

Formation energy, meV per atom: 207.6
Energy, eV/atom: -6.409
Spin magnetization, Bohr magnetons per cell: 0.00
Space group: Immm

Lattice parameters (Å, degrees): 5.228 5.228 5.228 148.15 127.81 62.45
Element x y z (fractional)
As (0.750, 0.250, 0.500)
Ir (0.979, 0.979, 0.000)
Cu (0.250, 0.750, 0.500)
Ir (0.521, 0.521, 0.000)

***

DFT (GGA-PBE) results for an optimized crystal structure of Cu4AsIr.

Formation energy, meV per atom: 244.1
Energy, eV/atom: -4.738
Spin magnetization, Bohr magnetons per cell: 0.00
Space group: F-43m

Lattice parameters (Å, degrees): 4.833 4.833 4.833 60.00 60.00 60.00
Element x y z (fractional)
Cu (0.375, 0.375, 0.375)
Cu (0.874, 0.375, 0.375)
Cu (0.375, 0.874, 0.375)
Ir (0.750, 0.750, 0.750)
Cu (0.375, 0.375, 0.874)
As (0.000, 0.000, 0.000)

***

DFT (GGA-PBE) results for an optimized crystal structure of CuAsIr3.

Formation energy, meV per atom: 1609.0
Energy, eV/atom: -5.457
Spin magnetization, Bohr magnetons per cell: 0.00
Energy relative to the lowest polymorph listed for this composition, meV per atom: 396.3
Space group: Pm-3m

Lattice parameters (Å, degrees): 4.492 4.492 4.492 90.00 90.00 90.00
Element x y z (fractional)
As (0.500, 0.500, 0.500)
Cu (0.000, 0.000, 0.000)
Ir (0.000, 0.000, 0.500)
Ir (0.500, 0.000, 0.000)
Ir (0.000, 0.500, 0.000)

***

DFT (GGA-PBE) results for an optimized crystal structure of Cu3AsIr.

Formation energy, meV per atom: 940.8
Energy, eV/atom: -4.219
Spin magnetization, Bohr magnetons per cell: 0.00
Energy relative to the lowest polymorph listed for this composition, meV per atom: 0.0
Space group: Pm-3m

Lattice parameters (Å, degrees): 4.365 4.365 4.365 90.00 90.00 90.00
Element x y z (fractional)
As (0.000, 0.000, 0.000)
Cu (0.000, 0.500, 0.000)
Ir (0.500, 0.500, 0.500)
Cu (0.500, 0.000, 0.000)
Cu (0.000, 0.000, 0.500)

***

DFT (GGA-PBE) results for an optimized crystal structure of CuAsIr.

Formation energy, meV per atom: 154.0
Energy, eV/atom: -5.715
Spin magnetization, Bohr magnetons per cell: 0.00
Energy relative to the lowest polymorph listed for this composition, meV per atom: 92.9
Space group: P3m1

Lattice parameters (Å, degrees): 2.914 2.914 6.067 90.00 90.00 120.00
Element x y z (fractional)
Ir (0.333, 0.667, 0.677)
As (0.000, 0.000, 0.992)
Cu (0.667, 0.333, 0.332)

***

DFT (GGA-PBE) results for an optimized crystal structure of CuAsIr2.

Formation energy, meV per atom: 224.9
Energy, eV/atom: -6.392
Spin magnetization, Bohr magnetons per cell: 0.00
Space group: P2/m

Lattice parameters (Å, degrees): 4.300 2.833 4.834 88.46 90.00 90.00
Element x y z (fractional)
Ir (0.000, 0.477, 0.501)
Ir (0.000, 0.023, 0.999)
Cu (0.500, 0.750, 0.750)
As (0.500, 0.250, 0.250)

***

DFT (GGA-PBE) results for an optimized crystal structure of CuAsIr2.

Formation energy, meV per atom: 336.6
Energy, eV/atom: -6.280
Spin magnetization, Bohr magnetons per cell: 0.00
Space group: F-43m

Lattice parameters (Å, degrees): 4.373 4.373 4.373 60.00 60.00 60.00
Element x y z (fractional)
Ir (0.000, 0.000, 0.000)
Ir (0.750, 0.750, 0.750)
Cu (0.250, 0.250, 0.250)
As (0.500, 0.500, 0.500)

***

DFT (GGA-PBE) results for an optimized crystal structure of CuAsIr2.

Formation energy, meV per atom: 339.6
Energy, eV/atom: -6.277
Spin magnetization, Bohr magnetons per cell: 0.00
Space group: I-42d

Lattice parameters (Å, degrees): 6.968 6.968 5.576 51.34 51.34 90.00
Element x y z (fractional)
Cu (0.500, 0.500, 0.000)
Ir (0.666, 0.125, 0.250)
Ir (0.375, 0.334, 0.750)
Ir (0.084, 0.625, 0.250)
As (0.750, 0.250, 0.500)
Cu (0.250, 0.750, 0.500)
Ir (0.875, 0.916, 0.750)
As (0.000, 0.000, 0.000)